No. 1
CaCeSm2, relaxed, DFT PBE-GGA; ΔE to the lowest computed polymorph = 0.099 eV per atom; energy relative to the elements = 0.180 eV/atom; M_tot = 1.4 μB per cell; uncorrected energy = -4.164 eV per atom
1.0
-2.9548 -1.2543 -3.9548
-2.6446 -3.2920 3.0200
-3.2997 3.8053 1.2584
Ca Ce Sm
1 1 2
Cartesian
-1.4774 -0.6271 -1.9774
-4.4495 -0.3705 0.1618
-1.6498 1.9026 0.6292
-1.3223 -1.6460 1.5100



No. 2
Al2TlTe, relaxed, DFT PBE-GGA; ΔE to the lowest computed polymorph = 0.032 eV per atom; M_tot = 0.0 μB per cell; uncorrected energy = -3.164 eV per atom; energy relative to the elements, uncorrected = 0.34 eV per formula unit
1.0
7.9024 -0.0078 -0.0047
6.9247 3.8075 -0.0047
6.9247 1.7746 3.3687
Al Tl Te
2 1 1
Cartesian
10.9561 2.8077 1.6920
21.6715 5.5537 3.3469
16.3138 4.1807 2.5195
5.4379 1.3936 0.8398